First-principles (PBE) data for a relaxed PuCuSiO6 crystal, as listed in the Alexandria database.

It has space group P-31c (No. 163), with a = 5.0939 Å, b = 5.0939 Å, c = 8.9064 Å, α = 90.00°, β = 90.00° and γ = 120.00°. Symmetry generates all atoms from Pu at (0.3333, 0.6667, 0.2500), Cu at (0.0000, 0.0000, 0.0000), Si at (0.3333, 0.6667, 0.7500) and O at (0.0376, 0.3718, 0.6360).

For the density of states at the Fermi level, the calculation gives 0.56 states/eV per atom. Its crystal system is trigonal. The formation energy without anion corrections comes out at -1.896 eV per atom.